# 1
LiHf2SnO | GGA-PBE | optimized geometry

Computed properties:
**Spin magnetization**: 0.000 μB/cell
**Formation energy from raw total energies**: -1.14 eV per atom
**Calculated total energy**: -36.47 eV/cell

Cell: 4.4464 4.4464 4.1470 Å, 90.00 90.00 90.00°
Space group P4/mmm (No. 123)
Symmetry-distinct sites (fractional):
Li 0.0000 0.0000 0.0000 x1
Hf 0.0000 0.5000 0.5000 x2
Sn 0.5000 0.5000 0.0000 x1
O 0.0000 0.0000 0.5000 x1


# 2
SrLi2HfO4 | GGA-PBE | optimized geometry

Computed properties:
**Spin magnetization**: 0.000 μB/cell
**Formation energy from raw total energies**: -2.74 eV per atom
**Calculated total energy**: -114.48 eV/cell

Cell: 5.4714 5.4714 7.0130 Å, 90.00 90.00 90.00°
Space group I-42m (No. 121)
Symmetry-distinct sites (fractional):
Sr 0.0000 0.0000 0.0000 x2
Li 0.0000 0.5000 0.2500 x4
Hf 0.0000 0.0000 0.5000 x2
O 0.2090 0.2090 0.6606 x8


# 3
Li2HfTaO6 | GGA-PBE | optimized geometry

Computed properties:
**Spin magnetization**: 3.195 μB/cell
**Formation energy from raw total energies**: -2.61 eV per atom
**Calculated total energy**: -244.60 eV/cell

Cell: 5.2512 5.2512 14.2777 Å, 90.00 90.00 120.00°
Space group R3 (No. 146, hexagonal axes)
Symmetry-distinct sites (fractional):
Li 0.0000 0.0000 0.0000 x3
Li 0.0000 0.0000 0.4988 x3
Hf 0.0000 0.0000 0.2863 x3
Ta 0.0000 0.0000 0.7812 x3
O 0.0036 0.3727 0.0458 x9
O 0.0196 0.6325 0.5422 x9


# 4
LiHfTa2O | GGA-PBE | optimized geometry

Computed properties:
**Spin magnetization**: 0.000 μB/cell
**Formation energy from raw total energies**: 0.59 eV per atom
**Calculated total energy**: -37.57 eV/cell

Cell: 4.9600 4.9600 3.2529 Å, 90.00 90.00 90.00°
Space group P4/mmm (No. 123)
Symmetry-distinct sites (fractional):
Li 0.0000 0.0000 0.0000 x1
Hf 0.5000 0.5000 0.5000 x1
Ta 0.0000 0.5000 0.0000 x2
O 0.0000 0.0000 0.5000 x1


# 5
LiHfTaO6 | GGA-PBE | optimized geometry

Computed properties:
**Spin magnetization**: 2.000 μB/cell
**Formation energy from raw total energies**: -2.40 eV per atom
**Calculated total energy**: -75.04 eV/cell

Cell: 5.2585 5.2585 4.6470 Å, 90.00 90.00 120.00°
Space group P312 (No. 149)
Symmetry-distinct sites (fractional):
Li 0.0000 0.0000 0.0000 x1
Hf 0.6667 0.3333 0.5000 x1
Ta 0.3333 0.6667 0.0000 x1
O 0.0039 0.3676 0.7642 x6


# 6
LiHfTcO6 | GGA-PBE | optimized geometry

Computed properties:
**Spin magnetization**: 0.000 μB/cell
**Formation energy from raw total energies**: -2.06 eV per atom
**Calculated total energy**: -141.03 eV/cell

Cell: 4.8176 4.8176 9.1629 Å, 90.00 90.00 90.00°
Space group P4_2nm (No. 102)
Symmetry-distinct sites (fractional):
Li 0.0000 0.0000 0.0000 x2
Hf 0.0000 0.0000 0.6652 x2
Tc 0.0000 0.0000 0.3283 x2
O 0.1861 0.1861 0.4825 x4
O 0.1979 0.1979 0.1839 x4
O 0.2205 0.2205 0.8196 x4


What did the third record say?
Li2HfTaO6 | GGA-PBE | optimized geometry

Computed properties:
**Spin magnetization**: 3.195 μB/cell
**Formation energy from raw total energies**: -2.61 eV per atom
**Calculated total energy**: -244.60 eV/cell

Cell: 5.2512 5.2512 14.2777 Å, 90.00 90.00 120.00°
Space group R3 (No. 146, hexagonal axes)
Symmetry-distinct sites (fractional):
Li 0.0000 0.0000 0.0000 x3
Li 0.0000 0.0000 0.4988 x3
Hf 0.0000 0.0000 0.2863 x3
Ta 0.0000 0.0000 0.7812 x3
O 0.0036 0.3727 0.0458 x9
O 0.0196 0.6325 0.5422 x9


> The highest formation energy from raw total energies belongs to which entry?

LiHfTa2O